Compound: SrAgHg4
Source: Alexandria via LeMat-Bulk
Functional: PBE
Structure: optimized geometry

The uncorrected energy is -1.0740 eV per atom. The polymorph energy (0 for the lowest one) is 69 kJ/mol of formula units. The total moment comes out at 0.00 μB/f.u. The space group is No. 216. Its formation energy is -0.12 eV per atom.

Lattice parameters (Å, degrees): 6.066 6.066 6.066 60.00 60.00 60.00
Fractional coordinates of all 6 atoms:
1 Sr 0.750 0.750 0.750
2 Hg 0.374 0.374 0.374
3 Hg 0.374 0.374 0.877
4 Hg 0.877 0.374 0.374
5 Hg 0.374 0.877 0.374
6 Ag 0.000 0.000 0.000


Compound: Sr6Ag2Hg
Source: Alexandria via LeMat-Bulk
Functional: PBE
Structure: optimized geometry

The uncorrected energy is -2.0379 eV per atom. The total moment comes out at 0.03 μB/f.u. The space group is No. 71. Its formation energy is -0.25 eV per atom.

Lattice parameters (Å, degrees): 9.688 9.688 9.688 104.72 110.49 113.31
Fractional coordinates of all 18 atoms:
1 Sr 0.809 0.243 0.052
2 Sr 0.546 0.723 0.822
3 Sr 0.099 0.277 0.822
4 Sr 0.809 0.757 0.566
5 Sr 0.697 0.365 0.668
6 Sr 0.303 0.635 0.332
7 Sr 0.454 0.277 0.178
8 Sr 0.191 0.757 0.948
9 Sr 0.697 0.029 0.332
10 Sr 0.303 0.971 0.668
11 Sr 0.901 0.723 0.178
12 Sr 0.191 0.243 0.434
13 Hg 0.000 0.000 0.000
14 Hg 0.000 0.500 0.500
15 Ag 0.500 0.622 0.122
16 Ag 0.654 0.000 0.654
17 Ag 0.500 0.378 0.878
18 Ag 0.346 0.000 0.346


Compound: SrAgHg2
Source: Alexandria via LeMat-Bulk
Functional: PBE
Structure: optimized geometry

The uncorrected energy is -1.4602 eV per atom. The total moment comes out at 0.00 μB/f.u. The space group is No. 122. Its formation energy is -0.18 eV per atom.

Lattice parameters (Å, degrees): 4.819 4.819 11.000 77.35 77.35 90.00
Fractional coordinates of all 8 atoms:
1 Sr 0.250 0.750 0.500
2 Sr 0.500 0.500 0.000
3 Ag 0.750 0.250 0.500
4 Ag 0.000 0.000 0.000
5 Hg 0.375 0.305 0.750
6 Hg 0.695 0.125 0.250
7 Hg 0.875 0.945 0.750
8 Hg 0.055 0.625 0.250


Compound: Sr4AgHg3
Source: Alexandria via LeMat-Bulk
Functional: PBE
Structure: optimized geometry

The uncorrected energy is -1.7717 eV per atom. The total moment comes out at 0.00 μB/f.u. The space group is No. 51. Its formation energy is -0.46 eV per atom.

Lattice parameters (Å, degrees): 5.648 7.905 11.303 90.00 90.00 90.00
Fractional coordinates of all 16 atoms:
1 Sr 0.999 0.252 0.250
2 Sr 0.500 0.252 0.500
3 Sr 0.999 0.748 0.250
4 Sr 0.500 0.748 0.500
5 Sr 0.500 0.748 0.000
6 Sr 0.001 0.252 0.750
7 Sr 0.001 0.748 0.750
8 Sr 0.500 0.252 0.000
9 Hg 0.499 0.500 0.250
10 Hg 0.000 0.000 0.000
11 Hg 0.501 0.500 0.750
12 Hg 0.501 0.000 0.750
13 Hg 0.499 0.000 0.250
14 Hg 0.000 0.000 0.500
15 Ag 0.000 0.500 0.500
16 Ag 0.000 0.500 0.000


Compound: Sr2AgHg5
Source: Alexandria via LeMat-Bulk
Functional: PBE
Structure: optimized geometry

The uncorrected energy is -1.3061 eV per atom. The total moment comes out at 0.00 μB/f.u. The space group is No. 63. Its formation energy is -0.34 eV per atom.

Lattice parameters (Å, degrees): 4.661 9.628 10.462 90.00 90.00 104.01
Fractional coordinates of all 16 atoms:
1 Hg 0.363 0.726 0.969
2 Hg 0.802 0.604 0.394
3 Hg 0.363 0.726 0.531
4 Hg 0.802 0.604 0.106
5 Hg 0.637 0.274 0.031
6 Hg 0.637 0.274 0.469
7 Hg 0.198 0.396 0.894
8 Hg 0.198 0.396 0.606
9 Hg 0.402 0.805 0.250
10 Hg 0.598 0.195 0.750
11 Sr 0.194 0.387 0.250
12 Sr 0.806 0.613 0.750
13 Sr 0.000 0.000 0.500
14 Sr 0.000 0.000 0.000
15 Ag 0.551 0.102 0.250
16 Ag 0.449 0.898 0.750


Compound: SrAg5Hg
Source: Alexandria via LeMat-Bulk
Functional: PBE
Structure: optimized geometry

The uncorrected energy is -2.4811 eV per atom. The total moment comes out at 0.00 μB/f.u. The space group is No. 62. Its formation energy is -0.16 eV per atom.

Lattice parameters (Å, degrees): 5.855 9.094 11.629 90.00 90.00 90.00
Fractional coordinates of all 28 atoms:
1 Ag 0.507 0.936 0.311
2 Ag 0.007 0.064 0.689
3 Ag 0.250 0.428 0.403
4 Ag 0.750 0.401 0.980
5 Ag 0.250 0.183 0.241
6 Ag 0.007 0.564 0.811
7 Ag 0.493 0.064 0.689
8 Ag 0.250 0.599 0.020
9 Ag 0.993 0.436 0.189
10 Ag 0.250 0.683 0.259
11 Ag 0.750 0.901 0.520
12 Ag 0.507 0.436 0.189
13 Ag 0.750 0.072 0.903
14 Ag 0.750 0.572 0.597
15 Ag 0.993 0.936 0.311
16 Ag 0.250 0.928 0.097
17 Ag 0.750 0.817 0.759
18 Ag 0.750 0.317 0.741
19 Ag 0.493 0.564 0.811
20 Ag 0.250 0.099 0.480
21 Sr 0.750 0.760 0.063
22 Sr 0.750 0.260 0.437
23 Sr 0.250 0.740 0.563
24 Sr 0.250 0.240 0.937
25 Hg 0.250 0.860 0.859
26 Hg 0.250 0.360 0.641
27 Hg 0.750 0.640 0.359
28 Hg 0.750 0.140 0.141